# 1
# PBE Y2Ge3Pt4Rh, optimized geometry
data_Y2Ge3Pt4Rh
_cell_length_a 4.013
_cell_length_b 4.013
_cell_length_c 11.515
_cell_angle_alpha 90.00
_cell_angle_beta 90.00
_cell_angle_gamma 90.00
_symmetry_space_group_name_H-M 'P 1'
_symmetry_Int_Tables_number 1
loop_
_symmetry_equiv_pos_as_xyz
'x,y,z'
loop_
_atom_site_label
_atom_site_type_symbol
_atom_site_fract_x
_atom_site_fract_y
_atom_site_fract_z
_atom_site_occupancy
Pt1 Pt 0.000 0.500 0.343 1
Pt2 Pt 0.000 0.000 0.000 1
Pt3 Pt 0.500 0.000 0.657 1
Pt4 Pt 0.500 0.500 0.000 1
Rh1 Rh 0.500 0.500 0.500 1
Ge1 Ge 0.500 0.000 0.865 1
Ge2 Ge 0.000 0.000 0.500 1
Ge3 Ge 0.000 0.500 0.135 1
Y1 Y 0.000 0.500 0.745 1
Y2 Y 0.500 0.000 0.255 1
# Crystal system   tetragonal
# Energy of formation   -0.8068 eV/atom
# Space group   No. 115

=====

# 2
# PBE Tb5Sb4As, optimized geometry
data_Tb5Sb4As
_cell_length_a 4.357
_cell_length_b 4.357
_cell_length_c 15.677
_cell_angle_alpha 97.99
_cell_angle_beta 97.99
_cell_angle_gamma 90.00
_symmetry_space_group_name_H-M 'P 1'
_symmetry_Int_Tables_number 1
loop_
_symmetry_equiv_pos_as_xyz
'x,y,z'
loop_
_atom_site_label
_atom_site_type_symbol
_atom_site_fract_x
_atom_site_fract_y
_atom_site_fract_z
_atom_site_occupancy
Sb1 Sb 0.198 0.198 0.396 1
Sb2 Sb 0.599 0.599 0.199 1
Sb3 Sb 0.802 0.802 0.604 1
Sb4 Sb 0.401 0.401 0.801 1
As1 As 0.000 0.000 0.000 1
Tb1 Tb 0.500 0.500 0.000 1
Tb2 Tb 0.300 0.300 0.599 1
Tb3 Tb 0.700 0.700 0.401 1
Tb4 Tb 0.095 0.095 0.190 1
Tb5 Tb 0.905 0.905 0.810 1
# Crystal system   tetragonal
# Energy relative to the elements, uncorrected   -1.2072 eV per atom
# Space group   No. 139

=====

Please write out number 1 again, unchanged.
# PBE Y2Ge3Pt4Rh, optimized geometry
data_Y2Ge3Pt4Rh
_cell_length_a 4.013
_cell_length_b 4.013
_cell_length_c 11.515
_cell_angle_alpha 90.00
_cell_angle_beta 90.00
_cell_angle_gamma 90.00
_symmetry_space_group_name_H-M 'P 1'
_symmetry_Int_Tables_number 1
loop_
_symmetry_equiv_pos_as_xyz
'x,y,z'
loop_
_atom_site_label
_atom_site_type_symbol
_atom_site_fract_x
_atom_site_fract_y
_atom_site_fract_z
_atom_site_occupancy
Pt1 Pt 0.000 0.500 0.343 1
Pt2 Pt 0.000 0.000 0.000 1
Pt3 Pt 0.500 0.000 0.657 1
Pt4 Pt 0.500 0.500 0.000 1
Rh1 Rh 0.500 0.500 0.500 1
Ge1 Ge 0.500 0.000 0.865 1
Ge2 Ge 0.000 0.000 0.500 1
Ge3 Ge 0.000 0.500 0.135 1
Y1 Y 0.000 0.500 0.745 1
Y2 Y 0.500 0.000 0.255 1
# Crystal system   tetragonal
# Energy of formation   -0.8068 eV/atom
# Space group   No. 115

=====

> Which formula does entry 2 have?

Tb5Sb4As